5
Lattice="4.646 0.000 0.000 0.000 4.646 0.000 0.000 0.000 4.775" Properties=species:S:1:pos:R:3 comment="PBE LiCaAl2Cu, optimized geometry" crystal_system=tetragonal ef_ev_per_atom=-0.084 space_group="P4/mmm (123)" pbc="T T T"
Li 0.000 0.000 0.000
Ca 2.323 2.323 0.000
Al 0.000 2.323 2.387
Al 2.323 0.000 2.387
Cu 0.000 0.000 2.387



5
Lattice="5.554 0.000 0.000 0.000 5.554 0.000 0.000 0.000 4.636" Properties=species:S:1:pos:R:3 comment="PBE LiCa2AlCu, optimized geometry" crystal_system=tetragonal ef_ev_per_atom=-0.007 space_group="P4/mmm (123)" pbc="T T T"
Li 0.000 0.000 0.000
Ca 0.000 2.777 2.318
Ca 2.777 0.000 2.318
Al 2.777 2.777 0.000
Cu 2.777 2.777 2.318



4
Lattice="0.000 3.554 3.554 3.554 0.000 3.554 3.554 3.554 0.000" Properties=species:S:1:pos:R:3 comment="PBE CaLuAlCu, optimized geometry" crystal_system=cubic ef_ev_per_atom=-0.178 space_group="F-43m (216)" pbc="T T T"
Ca 0.000 0.000 0.000
Lu 3.554 3.554 3.554
Al 1.777 1.777 1.777
Cu 5.331 5.331 5.331



5
Lattice="4.022 0.000 0.000 0.000 4.022 0.000 0.000 0.000 4.758" Properties=species:S:1:pos:R:3 comment="PBE CaAlCuN2, optimized geometry" crystal_system=tetragonal total_energy_ev_per_atom=-3.97 space_group="P4/mmm (123)" pbc="T T T"
Ca 0.000 0.000 0.000
Al 2.011 2.011 0.000
Cu 0.000 0.000 2.379
N 0.000 2.011 2.379
N 2.011 0.000 2.379



5
Lattice="4.837 0.000 0.000 0.000 4.837 0.000 0.000 0.000 5.046" Properties=species:S:1:pos:R:3 comment="PBE CaNbAlCu2, optimized geometry" crystal_system=tetragonal ef_ev_per_atom=0.628 space_group="P4/mmm (123)" pbc="T T T"
Ca 0.000 0.000 0.000
Nb 2.418 2.418 2.523
Al 2.418 2.418 0.000
Cu 0.000 2.418 2.523
Cu 2.418 0.000 2.523



4
Lattice="2.097 1.210 4.969 -2.097 1.210 4.969 0.000 -2.421 4.969" Properties=species:S:1:pos:R:3 comment="PBE CaAlCuNi, optimized geometry" crystal_system=trigonal ef_ev_per_atom=-0.330 space_group="R3m (160)" pbc="T T T"
Ca 0.000 0.000 0.000
Al 0.000 0.000 7.559
Cu 0.000 0.000 12.027
Ni 0.000 0.000 2.839



18
Lattice="4.230 2.442 4.079 -4.230 2.442 4.079 0.000 -4.885 4.079" Properties=species:S:1:pos:R:3 comment="PBE Ca2AlCu12Ni3, optimized geometry" crystal_system=trigonal ef_ev_per_atom=0.073 space_group="R-3m (166)" pbc="T T T"
Ca 0.000 0.000 2.910
Ca 0.000 0.000 9.326
Al 0.000 0.000 6.118
Cu 0.000 -2.775 3.275
Cu -2.403 1.388 3.275
Cu -2.008 -1.159 6.614
Cu 0.000 -2.319 5.622
Cu -2.008 1.159 5.622
Cu -2.403 -1.388 8.961
Cu 2.403 1.388 3.275
Cu 2.008 -1.159 6.614
Cu 0.000 2.319 6.614
Cu 2.008 1.159 5.622
Cu 2.403 -1.388 8.961
Cu 0.000 2.775 8.961
Ni -2.115 -1.221 4.079
Ni -2.115 1.221 8.157
Ni 0.000 2.442 4.079



18
Lattice="2.954 1.705 8.796 -2.954 1.705 8.796 0.000 -3.411 8.796" Properties=species:S:1:pos:R:3 comment="PBE Ca2AlCu3Ni12, optimized geometry" crystal_system=trigonal ef_ev_per_atom=0.246 space_group="R-3m (166)" pbc="T T T"
Ca 0.000 0.000 4.014
Ca 0.000 0.000 22.373
Al 0.000 0.000 13.194
Cu -1.477 -0.853 8.796
Cu -1.477 0.853 17.591
Cu 0.000 1.705 8.796
Ni 0.000 -2.076 7.448
Ni -1.798 1.038 7.448
Ni -1.217 -0.702 11.270
Ni -1.798 -1.038 18.939
Ni 0.000 -1.405 15.118
Ni -1.217 0.702 15.118
Ni 1.217 -0.702 11.269
Ni 0.000 1.405 11.269
Ni 1.798 1.038 7.448
Ni 1.217 0.702 15.118
Ni 1.797 -1.038 18.939
Ni 0.000 2.076 18.939



Computed values of magnetic moment (unit: μB/f.u.) for the preceding records, in sequence: 0.00 0.00 0.00 1.16 0.00 0.00 0.00 2.44.